No. 1
{
  "formula": "NbCo2Ag",
  "functional": "GGA-PBE",
  "state": "relaxed",
  "n_ef_per_ev_cell": 1.8,
  "ef_ev_per_atom": 0.156,
  "space_group": "No. 225",
  "final_energy_ev_per_atom": -6.627,
  "vol_a3_per_atom": 13.88,
  "relative_energy_mev_per_atom": 0,
  "cell": [[0.0000, 3.0278, 3.0278], [3.0278, 0.0000, 3.0278], [3.0278, 3.0278, 0.0000]],
  "species": ["Nb", "Co", "Ag", "Co"],
  "fractional_positions": [[0.0000, 0.0000, 0.0000], [0.2500, 0.2500, 0.2500], [0.5000, 0.5000, 0.5000], [0.7500, 0.7500, 0.7500]]
}

***

No. 2
{
  "formula": "NbCo3Ag",
  "functional": "GGA-PBE",
  "state": "relaxed",
  "n_ef_per_ev_cell": 8.4,
  "ef_ev_per_atom": 1.364,
  "space_group": "No. 221",
  "final_energy_ev_per_atom": -5.483,
  "vol_a3_per_atom": 17.73,
  "relative_energy_mev_per_atom": 0,
  "cell": [[4.4590, 0.0000, 0.0000], [0.0000, 4.4590, 0.0000], [0.0000, 0.0000, 4.4590]],
  "species": ["Nb", "Co", "Co", "Ag", "Co"],
  "fractional_positions": [[0.0000, 0.0000, 0.0000], [0.5000, 0.0000, 0.0000], [0.0000, 0.0000, 0.5000], [0.5000, 0.5000, 0.5000], [0.0000, 0.5000, 0.0000]]
}

***

No. 3
{
  "formula": "NbCoAg2",
  "functional": "GGA-PBE",
  "state": "relaxed",
  "n_ef_per_ev_cell": 11.1,
  "ef_ev_per_atom": 0.827,
  "space_group": "No. 122",
  "final_energy_ev_per_atom": -4.893,
  "vol_a3_per_atom": 17.54,
  "relative_energy_mev_per_atom": 259,
  "cell": [[7.4039, 0.0000, 0.0000], [0.0000, 7.4039, 0.0000], [3.7019, 3.7019, 2.5595]],
  "species": ["Ag", "Ag", "Ag", "Nb", "Co", "Nb", "Co", "Ag"],
  "fractional_positions": [[0.1617, 0.6250, 0.2500], [0.3750, 0.4117, 0.7500], [0.5883, 0.1250, 0.2500], [0.7500, 0.2500, 0.5000], [0.2500, 0.7500, 0.5000], [0.0000, 0.0000, 0.0000], [0.5000, 0.5000, 0.0000], [0.8750, 0.8383, 0.7500]]
}

***

No. 4
{
  "formula": "NbCoAg3",
  "functional": "GGA-PBE",
  "state": "relaxed",
  "n_ef_per_ev_cell": 12.1,
  "ef_ev_per_atom": 1.399,
  "space_group": "No. 221",
  "final_energy_ev_per_atom": -3.747,
  "vol_a3_per_atom": 20.14,
  "cell": [[4.6522, 0.0000, 0.0000], [0.0000, 4.6522, 0.0000], [0.0000, 0.0000, 4.6522]],
  "species": ["Nb", "Co", "Ag", "Ag", "Ag"],
  "fractional_positions": [[0.5000, 0.5000, 0.5000], [0.0000, 0.0000, 0.0000], [0.0000, 0.0000, 0.5000], [0.0000, 0.5000, 0.0000], [0.5000, 0.0000, 0.0000]]
}

***

No. 5
{
  "formula": "NbCo2Ag",
  "functional": "GGA-PBE",
  "state": "relaxed",
  "n_ef_per_ev_cell": 1.8,
  "ef_ev_per_atom": 0.542,
  "space_group": "No. 122",
  "final_energy_ev_per_atom": -6.242,
  "vol_a3_per_atom": 15.31,
  "relative_energy_mev_per_atom": 386,
  "cell": [[-4.1126, 0.0334, 5.2410], [-1.9164, -6.2101, -1.4643], [-0.9934, -4.0876, 3.4807]],
  "species": ["Ag", "Co", "Co", "Nb", "Ag", "Co", "Co", "Nb"],
  "fractional_positions": [[0.7500, 0.2500, 0.5000], [0.1488, 0.6250, 0.2500], [0.6012, 0.1250, 0.2500], [0.2500, 0.7500, 0.5000], [0.0000, 0.0000, 0.0000], [0.8750, 0.8512, 0.7500], [0.3750, 0.3988, 0.7500], [0.5000, 0.5000, 0.0000]]
}

***

No. 6
{
  "formula": "ScNbCo2Ag",
  "functional": "GGA-PBE",
  "state": "relaxed",
  "n_ef_per_ev_cell": 6.7,
  "ef_ev_per_atom": 1.423,
  "space_group": "No. 123",
  "final_energy_ev_per_atom": -5.270,
  "vol_a3_per_atom": 18.66,
  "cell": [[-3.6480, 1.8581, 1.5949], [0.0540, -3.0866, 3.7194], [2.4482, 2.8249, 2.3087]],
  "species": ["Sc", "Nb", "Co", "Co", "Ag"],
  "fractional_positions": [[0.0000, 0.0000, 0.0000], [0.0000, 0.5000, 0.0000], [0.0000, 0.0000, 0.5000], [0.5000, 0.0000, 0.0000], [0.5000, 0.5000, 0.5000]]
}

***

No. 7
{
  "formula": "NbCo2TcAg",
  "functional": "GGA-PBE",
  "state": "relaxed",
  "n_ef_per_ev_cell": 5.1,
  "ef_ev_per_atom": 1.750,
  "space_group": "No. 123",
  "final_energy_ev_per_atom": -5.749,
  "vol_a3_per_atom": 19.11,
  "cell": [[4.3542, 0.0000, 0.0000], [0.0000, 5.0400, 0.0000], [0.0000, 0.0000, 4.3542]],
  "species": ["Ag", "Co", "Tc", "Nb", "Co"],
  "fractional_positions": [[0.0000, 0.5000, 0.0000], [0.0000, 0.0000, 0.5000], [0.5000, 0.5000, 0.5000], [0.0000, 0.0000, 0.0000], [0.5000, 0.0000, 0.0000]]
}

***

No. 8
{
  "formula": "TiNbCoAg2",
  "functional": "GGA-PBE",
  "state": "relaxed",
  "n_ef_per_ev_cell": 10.0,
  "ef_ev_per_atom": 1.772,
  "space_group": "No. 123",
  "final_energy_ev_per_atom": -4.383,
  "vol_a3_per_atom": 23.70,
  "cell": [[5.0901, 0.0000, 0.0000], [0.0000, 4.5740, 0.0000], [0.0000, 0.0000, 5.0901]],
  "species": ["Ag", "Ti", "Nb", "Ag", "Co"],
  "fractional_positions": [[0.5000, 0.0000, 0.0000], [0.0000, 0.5000, 0.0000], [0.0000, 0.0000, 0.0000], [0.0000, 0.0000, 0.5000], [0.5000, 0.5000, 0.5000]]
}